No. 1
The following is a PBE calculation of crystalline PrUNi at its relaxed geometry, from OQMD via LeMat-Bulk.

a = 4.732 Å, b = 4.732 Å, c = 4.732 Å
α = 60.00°, β = 60.00°, γ = 60.00°
Fractional coordinates of all 3 atoms:
1 Ni 0.000 0.000 0.000
2 Pr 0.750 0.750 0.750
3 U 0.250 0.250 0.250

- V (Å³/atom) = 24.97
- energy above the most stable polymorph in this dataset (eV per atom) = 0.0000
- space group = F-43m
- ΔH_f (0 K) (kJ/mol of formula units) = 131



No. 2
The following is a PBE calculation of crystalline PrNiW at its relaxed geometry, from OQMD via LeMat-Bulk.

a = 4.624 Å, b = 4.624 Å, c = 4.624 Å
α = 60.00°, β = 60.00°, γ = 60.00°
Fractional coordinates of all 3 atoms:
1 Pr 0.000 0.000 0.000
2 W 0.750 0.750 0.750
3 Ni 0.250 0.250 0.250

- V (Å³/atom) = 23.31
- energy above the most stable polymorph in this dataset (eV per atom) = 0.8497
- space group = F-43m
- ΔH_f (0 K) (kJ/mol of formula units) = 502



No. 3
The following is a PBE calculation of crystalline PrNiW at its relaxed geometry, from OQMD via LeMat-Bulk.

a = 4.498 Å, b = 4.498 Å, c = 4.498 Å
α = 60.00°, β = 60.00°, γ = 60.00°
Fractional coordinates of all 3 atoms:
1 Ni 0.000 0.000 0.000
2 W 0.750 0.750 0.750
3 Pr 0.250 0.250 0.250

- V (Å³/atom) = 21.46
- energy above the most stable polymorph in this dataset (eV per atom) = 0.0000
- space group = F-43m
- ΔH_f (0 K) (kJ/mol of formula units) = 256



No. 4
The following is a PBE calculation of crystalline PrYNi at its relaxed geometry, from OQMD via LeMat-Bulk.

a = 4.826 Å, b = 4.826 Å, c = 4.826 Å
α = 60.00°, β = 60.00°, γ = 60.00°
Fractional coordinates of all 3 atoms:
1 Y 0.750 0.750 0.750
2 Ni 0.000 0.000 0.000
3 Pr 0.250 0.250 0.250

- V (Å³/atom) = 26.49
- space group = F-43m
- ΔH_f (0 K) (kJ/mol of formula units) = -21



The records above yield magnetic moment values of 3.68 2.65 0.52 0.00 μB/f.u., respectively.